1.
NaCdBiCl6: relaxed, PBE.

Computed properties:
- Uncorrected energy: -3.119 eV per atom
- Spin magnetization: 0.00 μB per atom
- DOS(E_F): 0.00 states/eV/cell
- Crystal system: trigonal
- ΔE_f (raw): -1.21 eV/atom

abc: 6.9145 6.9145 12.6146
angles: 90.00 90.00 120.00
Last column: nearest neighbours and their distance in Å.
Positions (direct):
Na 0.0000 0.0000 0.0000  6 Cl 2.93
Na 0.0000 0.0000 0.5000  6 Cl 2.93
Cd 0.3333 0.6667 0.2500  6 Cl 2.67
Cd 0.6667 0.3333 0.7500  6 Cl 2.67
Bi 0.3333 0.6667 0.7500  6 Cl 2.74
Bi 0.6667 0.3333 0.2500  6 Cl 2.74
Cl 0.0078 0.3560 0.1299  1 Cd 2.67, 1 Bi 2.74, 1 Na 2.93
Cl 0.0078 0.6518 0.3701  1 Cd 2.67, 1 Bi 2.74, 1 Na 2.93
Cl 0.3482 0.3560 0.3701  1 Cd 2.67, 1 Bi 2.74, 1 Na 2.93
Cl 0.3482 0.9922 0.1299  1 Cd 2.67, 1 Bi 2.74, 1 Na 2.93
Cl 0.3560 0.0078 0.6299  1 Cd 2.67, 1 Bi 2.74, 1 Na 2.93
Cl 0.3560 0.3482 0.8701  1 Cd 2.67, 1 Bi 2.74, 1 Na 2.93
Cl 0.6440 0.6518 0.1299  1 Cd 2.67, 1 Bi 2.74, 1 Na 2.93
Cl 0.6440 0.9922 0.3701  1 Cd 2.67, 1 Bi 2.74, 1 Na 2.93
Cl 0.6518 0.0078 0.8701  1 Cd 2.67, 1 Bi 2.74, 1 Na 2.93
Cl 0.6518 0.6440 0.6299  1 Cd 2.67, 1 Bi 2.74, 1 Na 2.93
Cl 0.9922 0.3482 0.6299  1 Cd 2.67, 1 Bi 2.74, 1 Na 2.93
Cl 0.9922 0.6440 0.8701  1 Cd 2.67, 1 Bi 2.74, 1 Na 2.93

=====

2.
CdBiClO2: relaxed, PBE.

Computed properties:
- Uncorrected energy: -4.519 eV per atom
- Spin magnetization: 0.00 μB per atom
- DOS(E_F): 0.00 states/eV/cell
- Crystal system: monoclinic
- ΔE_f (raw): -1.21 eV/atom

abc: 6.3836 4.2595 7.6605
angles: 90.00 95.81 90.00
Last column: nearest neighbours and their distance in Å.
Positions (direct):
Cd 0.1420 0.2500 0.3862  4 O 2.27-2.44, 1 Cl 2.53
Cd 0.8580 0.7500 0.6138  4 O 2.27-2.44, 1 Cl 2.53
Bi 0.1861 0.2500 0.8953  4 O 2.15-2.31
Bi 0.8139 0.7500 0.1047  4 O 2.15-2.31
Cl 0.4931 0.7500 0.7152  1 Cd 2.53
Cl 0.5069 0.2500 0.2848  1 Cd 2.53
O 0.0017 0.7500 0.3542  1 Bi 2.15, 3 Cd 2.27-2.31
O 0.0486 0.7500 0.9065  3 Bi 2.24-2.31, 1 Cd 2.44
O 0.9514 0.2500 0.0935  3 Bi 2.24-2.31, 1 Cd 2.44
O 0.9983 0.2500 0.6458  1 Bi 2.15, 3 Cd 2.27-2.31

=====

3.
CdBi8Cl10O8: relaxed, PBE.

Computed properties:
- Uncorrected energy: -4.546 eV per atom
- Spin magnetization: 0.00 μB per atom
- Crystal system: orthorhombic
- ΔE_f (raw): -1.21 eV/atom

abc: 19.0417 19.0417 5.5090
angles: 90.00 90.00 163.37
Last column: nearest neighbours and their distance in Å.
Positions (direct):
Cd 0.0000 0.0000 0.0000  6 Cl 2.71-2.75
Bi 0.1089 0.8911 0.5000  4 O 2.33
Bi 0.1774 0.8226 0.0000  4 O 2.33
Bi 0.3233 0.6767 0.5000  4 O 2.33
Bi 0.3911 0.6089 0.0000  4 O 2.33
Bi 0.6089 0.3911 0.0000  4 O 2.33
Bi 0.6767 0.3233 0.5000  4 O 2.33
Bi 0.8226 0.1774 0.0000  4 O 2.33
Bi 0.8911 0.1089 0.5000  4 O 2.33
Cl 0.0000 0.0000 0.5000  2 Cd 2.75
Cl 0.0719 0.9281 0.0000  1 Cd 2.71
Cl 0.2138 0.7862 0.5000  4 Bi 3.08-3.09, 4 O 3.30
Cl 0.2862 0.7138 0.0000  4 Bi 3.08-3.09, 4 O 3.30
Cl 0.4259 0.5741 0.5000  4 Bi 3.05, 4 O 3.25
Cl 0.5000 0.5000 0.0000  2 Cd 2.75
Cl 0.5741 0.4259 0.5000  4 Bi 3.05, 4 O 3.25
Cl 0.7138 0.2862 0.0000  4 Bi 3.08-3.09, 4 O 3.30
Cl 0.7862 0.2138 0.5000  4 Bi 3.08-3.09, 4 O 3.30
Cl 0.9281 0.0719 0.0000  1 Cd 2.71
O 0.1055 0.3915 0.2485  4 Bi 2.33
O 0.1055 0.3915 0.7515  4 Bi 2.33
O 0.3915 0.1055 0.2485  4 Bi 2.33
O 0.3915 0.1055 0.7515  4 Bi 2.33
O 0.6085 0.8945 0.2485  4 Bi 2.33
O 0.6085 0.8945 0.7515  4 Bi 2.33
O 0.8945 0.6085 0.2485  4 Bi 2.33
O 0.8945 0.6085 0.7515  4 Bi 2.33

=====

4.
CdBi12Cl14O12: relaxed, PBE.

Computed properties:
- Uncorrected energy: -4.632 eV per atom
- Spin magnetization: 0.00 μB per atom
- Crystal system: orthorhombic
- ΔE_f (raw): -1.23 eV/atom

abc: 27.0267 27.0267 5.5126
angles: 90.00 90.00 168.29
Last column: nearest neighbours and their distance in Å.
Positions (direct):
Cd 0.0000 0.0000 0.0000  6 Cl 2.71-2.76
Bi 0.0763 0.9237 0.5000  4 O 2.33
Bi 0.1243 0.8757 0.0000  4 O 2.33
Bi 0.2262 0.7738 0.5000  4 O 2.33
Bi 0.2738 0.7262 0.0000  4 O 2.33
Bi 0.3763 0.6237 0.5000  4 O 2.33
Bi 0.4237 0.5763 0.0000  4 O 2.33
Bi 0.5763 0.4237 0.0000  4 O 2.33
Bi 0.6237 0.3763 0.5000  4 O 2.33
Bi 0.7262 0.2738 0.0000  4 O 2.33
Bi 0.7738 0.2262 0.5000  4 O 2.33
Bi 0.8757 0.1243 0.0000  4 O 2.33
Bi 0.9237 0.0763 0.5000  4 O 2.33
Cl 0.0000 0.0000 0.5000  2 Cd 2.76
Cl 0.0503 0.9497 0.0000  1 Cd 2.71
Cl 0.1498 0.8502 0.5000  4 Bi 3.08-3.09, 4 O 3.31
Cl 0.2003 0.7997 0.0000  4 Bi 3.09, 4 O 3.31
Cl 0.2996 0.7004 0.5000  4 Bi 3.09, 4 O 3.30
Cl 0.3502 0.6498 0.0000  4 Bi 3.08-3.09, 4 O 3.31
Cl 0.4482 0.5518 0.5000  4 Bi 3.05, 4 O 3.26
Cl 0.5000 0.5000 0.0000  2 Cd 2.76
Cl 0.5518 0.4482 0.5000  4 Bi 3.05, 4 O 3.26
Cl 0.6498 0.3502 0.0000  4 Bi 3.08-3.09, 4 O 3.31
Cl 0.7004 0.2996 0.5000  4 Bi 3.09, 4 O 3.30
Cl 0.7997 0.2003 0.0000  4 Bi 3.09, 4 O 3.31
Cl 0.8502 0.1498 0.5000  4 Bi 3.08-3.09, 4 O 3.31
Cl 0.9497 0.0503 0.0000  1 Cd 2.71
O 0.0000 0.5000 0.2500  4 Bi 2.33
O 0.0000 0.5000 0.7500  4 Bi 2.33
O 0.1484 0.3486 0.2485  4 Bi 2.33
O 0.1484 0.3486 0.7515  4 Bi 2.33
O 0.3486 0.1484 0.2485  4 Bi 2.33
O 0.3486 0.1484 0.7515  4 Bi 2.33
O 0.5000 0.0000 0.2500  4 Bi 2.33
O 0.5000 0.0000 0.7500  4 Bi 2.33
O 0.6514 0.8516 0.2485  4 Bi 2.33
O 0.6514 0.8516 0.7515  4 Bi 2.33
O 0.8516 0.6514 0.2485  4 Bi 2.33
O 0.8516 0.6514 0.7515  4 Bi 2.33

=====

5.
CdBiPCl2: relaxed, PBE.

Computed properties:
- Uncorrected energy: -2.668 eV per atom
- Spin magnetization: 0.00 μB per atom
- Distance to the lowest polymorph of the same formula: 60 meV/atom
- DOS(E_F): 3.57 states/eV/cell
- Crystal system: tetragonal
- ΔE_f (raw): 0.11 eV/atom

abc: 4.9766 4.9766 5.3859
angles: 90.00 90.00 90.00
Last column: nearest neighbours and their distance in Å.
Positions (direct):
Cd 0.0000 0.0000 0.0000  4 Cl 2.49, 2 P 2.69
Bi 0.5000 0.5000 0.5000  4 P 3.52, 8 Cl 3.67
P 0.0000 0.0000 0.5000  2 Cd 2.69
Cl 0.0000 0.5000 0.0000  2 Cd 2.49
Cl 0.5000 0.0000 0.0000  2 Cd 2.49

=====

6.
CdBiP2Cl: relaxed, PBE.

Computed properties:
- Uncorrected energy: -2.882 eV per atom
- Spin magnetization: 0.00 μB per atom
- Distance to the lowest polymorph of the same formula: 0 meV/atom
- DOS(E_F): 3.67 states/eV/cell
- Crystal system: tetragonal
- ΔE_f (raw): 0.61 eV/atom

abc: 5.0225 5.0225 5.0218
angles: 90.00 90.00 90.00
Last column: nearest neighbours and their distance in Å.
Positions (direct):
Cd 0.0000 0.0000 0.0000  2 Cl 2.51, 4 P 2.51
Bi 0.5000 0.5000 0.5000  8 P 3.55, 4 Cl 3.55
P 0.0000 0.5000 0.0000  2 Cd 2.51
P 0.5000 0.0000 0.0000  2 Cd 2.51
Cl 0.0000 0.0000 0.5000  2 Cd 2.51

=====

7.
CdBiPCl2: relaxed, PBE.

Computed properties:
- Uncorrected energy: -2.728 eV per atom
- Spin magnetization: 0.00 μB per atom
- Distance to the lowest polymorph of the same formula: 0 meV/atom
- DOS(E_F): 1.61 states/eV/cell
- Crystal system: tetragonal
- ΔE_f (raw): 0.05 eV/atom

abc: 5.3309 5.3309 5.5786
angles: 90.00 90.00 90.00
Last column: nearest neighbours and their distance in Å.
Positions (direct):
Cd 0.0000 0.0000 0.0000  4 P 3.77, 8 Cl 3.86
Bi 0.5000 0.5000 0.5000  4 Cl 2.67, 2 P 2.79
P 0.5000 0.5000 0.0000  2 Bi 2.79
Cl 0.0000 0.5000 0.5000  2 Bi 2.67
Cl 0.5000 0.0000 0.5000  2 Bi 2.67

=====

8.
Cd4BiPCl2: relaxed, PBE.

Computed properties:
- Uncorrected energy: -2.365 eV per atom
- Spin magnetization: 0.00 μB per atom
- DOS(E_F): 2.75 states/eV/cell
- Crystal system: monoclinic
- ΔE_f (raw): -0.28 eV/atom

abc: 9.0044 9.0044 7.6004
angles: 114.87 114.87 103.73
Last column: nearest neighbours and their distance in Å.
Positions (direct):
Cd 0.2051 0.3315 0.5181  1 P 2.65, 2 Cl 2.82-2.83
Cd 0.2162 0.7823 0.9828  2 P 2.74, 2 Cl 2.90-2.92
Cd 0.2177 0.7838 0.5172  2 P 2.74, 2 Cl 2.90-2.92
Cd 0.3315 0.2051 0.0181  1 P 2.65, 2 Cl 2.82-2.83
Cd 0.6685 0.7949 0.9819  1 P 2.65, 2 Cl 2.82-2.83
Cd 0.7823 0.2162 0.4828  2 P 2.74, 2 Cl 2.90-2.92
Cd 0.7838 0.2177 0.0172  2 P 2.74, 2 Cl 2.90-2.92
Cd 0.7949 0.6685 0.4819  1 P 2.65, 2 Cl 2.82-2.83
Bi 0.0000 0.0000 0.0000  6 Cd 3.03-3.08
Bi 0.0000 0.0000 0.5000  6 Cd 3.03-3.08
P 0.0000 0.5000 0.5000  6 Cd 2.65-2.74
P 0.5000 0.0000 0.0000  6 Cd 2.65-2.74
Cl 0.0000 0.5000 0.0000  4 Cd 2.90-2.92
Cl 0.5000 0.0000 0.5000  4 Cd 2.90-2.92
Cl 0.5000 0.5000 0.0000  4 Cd 2.82-2.83
Cl 0.5000 0.5000 0.5000  4 Cd 2.82-2.83

=====

9.
RbCd2BiCl8: relaxed, PBE.

Computed properties:
- Uncorrected energy: -2.962 eV per atom
- Spin magnetization: 0.00 μB per atom
- DOS(E_F): 0.00 states/eV/cell
- Crystal system: triclinic
- ΔE_f (raw): -1.17 eV/atom

abc: 6.6436 6.6597 9.2925
angles: 78.47 79.20 79.08
Last column: nearest neighbours and their distance in Å.
Positions (direct):
Rb 0.0000 0.0000 0.0000  6 Cl 3.27-3.41
Cd 0.4506 0.4459 0.2198  5 Cl 2.54-2.71
Cd 0.5494 0.5541 0.7802  5 Cl 2.54-2.71
Bi 0.0000 0.0000 0.5000  6 Cl 2.73-2.75
Cl 0.1782 0.7334 0.7252  1 Cd 2.62, 1 Bi 2.75
Cl 0.2493 0.8052 0.2813  1 Cd 2.62, 1 Bi 2.74
Cl 0.2823 0.2596 0.4718  1 Cd 2.58, 1 Bi 2.73
Cl 0.3428 0.3173 0.0106  2 Cd 2.54-2.71
Cl 0.6572 0.6827 0.9894  2 Cd 2.54-2.71
Cl 0.7177 0.7404 0.5282  1 Cd 2.58, 1 Bi 2.73
Cl 0.7507 0.1948 0.7187  1 Cd 2.62, 1 Bi 2.74
Cl 0.8218 0.2666 0.2748  1 Cd 2.62, 1 Bi 2.75

=====

10.
CdReBi2Cl: relaxed, PBE.

Computed properties:
- Uncorrected energy: -3.236 eV per atom
- Spin magnetization: 0.68 μB per atom
- DOS(E_F): 3.70 states/eV/cell
- Crystal system: tetragonal
- ΔE_f (raw): 1.36 eV/atom

abc: 5.6639 5.6639 4.9764
angles: 90.00 90.00 90.00
Last column: nearest neighbours and their distance in Å.
Positions (direct):
Cd 0.0000 0.0000 0.0000  2 Cl 2.49
Re 0.5000 0.5000 0.5000  8 Bi 3.77, 4 Cl 4.00
Bi 0.0000 0.5000 0.0000  2 Cd 2.83
Bi 0.5000 0.0000 0.0000  2 Cd 2.83
Cl 0.0000 0.0000 0.5000  2 Cd 2.49